# 1
DFT (PBE) results for an optimized crystal structure of BeBF3.

The structure in POSCAR format:
```
BeBF3
1.0
3.707 0.000 0.000
0.000 3.707 0.000
0.000 0.000 3.707
Be B F
1 1 3
Cartesian
0.000 0.000 0.000
1.853 1.853 1.853
0.000 1.853 1.853
1.853 0.000 1.853
1.853 1.853 0.000
```

Computed properties:
As for the total magnetic moment: 0.18 μB/atom. The calculation puts the energy above the most stable polymorph in this dataset at 0.941 eV per atom. The uncorrected formation energy comes out at -0.39 eV per atom.

# 2
DFT (PBE) results for an optimized crystal structure of BeBF.

The structure in POSCAR format:
```
BeBF
1.0
5.494 0.000 0.000
0.000 2.588 0.000
-0.492 0.000 8.005
Be B F
4 4 4
Cartesian
0.525 0.000 1.604
1.730 1.294 6.401
3.272 1.294 1.604
4.477 0.000 6.401
0.332 1.294 7.934
1.923 0.000 0.071
3.079 0.000 7.934
4.670 1.294 0.071
0.554 1.294 2.572
1.701 0.000 5.433
3.301 0.000 2.572
4.448 1.294 5.433
```

Computed properties:
As for the total magnetic moment: 0.00 μB/atom. The calculation puts the energy above the most stable polymorph in this dataset at 0.115 eV per atom. The uncorrected formation energy comes out at -1.27 eV per atom.

# 3
DFT (PBE) results for an optimized crystal structure of BeBF2.

The structure in POSCAR format:
```
BeBF2
1.0
0.000 3.617 3.617
3.617 0.000 3.617
3.617 3.617 0.000
Be B F
2 2 4
Cartesian
0.904 0.904 0.904
6.330 6.330 6.330
2.713 2.713 2.713
4.522 4.522 4.522
0.000 0.000 0.000
1.809 1.809 0.000
1.809 0.000 1.809
0.000 1.809 1.809
```

Computed properties:
As for the total magnetic moment: 0.25 μB/atom. The calculation puts the energy above the most stable polymorph in this dataset at 0.264 eV per atom. The uncorrected formation energy comes out at -1.04 eV per atom.